Entry A
# LiCaTa2 | Alexandria | PBE | optimized geometry
# ρ   8.24 g/cm³
# N(E_F)   5.872 states/eV per cell
# Total magnetic moment   0.00 Bohr magnetons per cell
data_LiCaTa2
_space_group_name_H-M_alt 'C 1 2/m 1'
_space_group_IT_number 12
_cell_length_a 5.3926
_cell_length_b 11.1377
_cell_length_c 2.9931
_cell_angle_alpha 90.00
_cell_angle_beta 113.58
_cell_angle_gamma 90.00
loop_
_space_group_symop_operation_xyz
'x,y,z'
'-x,-y,-z'
'-x,y,-z'
'x,-y,z'
'x+1/2,y+1/2,z'
'-x+1/2,-y+1/2,-z'
'-x+1/2,y+1/2,-z'
'x+1/2,-y+1/2,z'
loop_
_atom_site_label
_atom_site_type_symbol
_atom_site_fract_x
_atom_site_fract_y
_atom_site_fract_z
Li1 Li 0.0000 0.0000 0.0000
Ca1 Ca 0.0000 0.5000 0.0000
Ta1 Ta 0.2500 0.2500 0.5000

***

Entry B
# LiCaTa2 | Alexandria | PBE | optimized geometry
# ρ   8.23 g/cm³
# N(E_F)   3.069 states/eV per cell
# Total magnetic moment   0.00 Bohr magnetons per cell
data_LiCaTa2
_space_group_name_H-M_alt 'P 1 2/m 1'
_space_group_IT_number 10
_cell_length_a 2.9954
_cell_length_b 5.5259
_cell_length_c 5.0548
_cell_angle_alpha 90.00
_cell_angle_beta 99.54
_cell_angle_gamma 90.00
loop_
_space_group_symop_operation_xyz
'x,y,z'
'-x,-y,-z'
'-x,y,-z'
'x,-y,z'
loop_
_atom_site_label
_atom_site_type_symbol
_atom_site_fract_x
_atom_site_fract_y
_atom_site_fract_z
Li1 Li 0.0000 0.0000 0.0000
Ca1 Ca 0.5000 0.0000 0.5000
Ta1 Ta 0.2172 0.5000 0.7632

***

Entry C
# LiCaTa2 | Alexandria | PBE | optimized geometry
# ρ   7.92 g/cm³
# N(E_F)   8.044 states/eV per cell
# Total magnetic moment   0.00 Bohr magnetons per cell
data_LiCaTa2
_space_group_name_H-M_alt 'C 1 m 1'
_space_group_IT_number 8
_cell_length_a 9.7119
_cell_length_b 2.8878
_cell_length_c 6.1345
_cell_angle_alpha 90.00
_cell_angle_beta 94.47
_cell_angle_gamma 90.00
loop_
_space_group_symop_operation_xyz
'x,y,z'
'x,-y,z'
'x+1/2,y+1/2,z'
'x+1/2,-y+1/2,z'
loop_
_atom_site_label
_atom_site_type_symbol
_atom_site_fract_x
_atom_site_fract_y
_atom_site_fract_z
Li1 Li 0.0000 0.0000 0.0000
Ca1 Ca 0.2566 0.5000 0.2532
Ta1 Ta 0.0155 0.5000 0.5877
Ta2 Ta 0.2507 0.0000 0.7274

***

Entry D
# LiCaTa2 | Alexandria | PBE | optimized geometry
# ρ   8.21 g/cm³
# N(E_F)   9.141 states/eV per cell
# Total magnetic moment   0.00 Bohr magnetons per cell
data_LiCaTa2
_space_group_name_H-M_alt 'C m m m'
_space_group_IT_number 65
_space_group_name_Hall '-C 2 2'
_cell_length_a 5.4814
_cell_length_b 10.7597
_cell_length_c 2.8053
_cell_angle_alpha 90.00
_cell_angle_beta 90.00
_cell_angle_gamma 90.00
loop_
_atom_site_label
_atom_site_type_symbol
_atom_site_fract_x
_atom_site_fract_y
_atom_site_fract_z
Li1 Li 0.0000 0.0000 0.0000
Ca1 Ca 0.0000 0.5000 0.0000
Ta1 Ta 0.2500 0.2500 0.5000

***

Stability summary - winner: entry C; margin: 10 meV/atom.

***

Entry A
# LiCaTb | Alexandria | PBE | optimized geometry
# ρ   3.71 g/cm³
# N(E_F)   9.143 states/eV per cell
# Total magnetic moment   0.44 Bohr magnetons per cell
data_LiCaTb
_space_group_name_H-M_alt 'I 4 m m'
_space_group_IT_number 107
_space_group_name_Hall 'I 4 -2'
_cell_length_a 3.7068
_cell_length_b 3.7068
_cell_length_c 13.4211
_cell_angle_alpha 90.00
_cell_angle_beta 90.00
_cell_angle_gamma 90.00
loop_
_atom_site_label
_atom_site_type_symbol
_atom_site_fract_x
_atom_site_fract_y
_atom_site_fract_z
Li1 Li 0.0000 0.0000 0.0000
Ca1 Ca 0.0000 0.0000 0.3462
Tb1 Tb 0.0000 0.0000 0.6444

***

Entry B
# LiCaTb | Alexandria | PBE | optimized geometry
# ρ   3.71 g/cm³
# N(E_F)   12.794 states/eV per cell
# Total magnetic moment   0.00 Bohr magnetons per cell
data_LiCaTb
_space_group_name_H-M_alt 'C m c m'
_space_group_IT_number 63
_space_group_name_Hall '-C 2c 2'
_cell_length_a 3.6799
_cell_length_b 17.7333
_cell_length_c 5.6572
_cell_angle_alpha 90.00
_cell_angle_beta 90.00
_cell_angle_gamma 90.00
loop_
_atom_site_label
_atom_site_type_symbol
_atom_site_fract_x
_atom_site_fract_y
_atom_site_fract_z
Li1 Li 0.0000 0.0739 0.2500
Ca1 Ca 0.0000 0.4098 0.2500
Tb1 Tb 0.0000 0.2742 0.7500

***

Stability summary - winner: entry B; margin: 79 meV/atom.

***

Entry A
# Li2CaTc | Alexandria | PBE | optimized geometry
# ρ   3.40 g/cm³
# N(E_F)   3.391 states/eV per cell
# Total magnetic moment   0.16 Bohr magnetons per cell
data_Li2CaTc
_space_group_name_H-M_alt 'P 1 2/m 1'
_space_group_IT_number 10
_cell_length_a 2.7218
_cell_length_b 4.9752
_cell_length_c 5.4925
_cell_angle_alpha 90.00
_cell_angle_beta 93.03
_cell_angle_gamma 90.00
loop_
_space_group_symop_operation_xyz
'x,y,z'
'-x,-y,-z'
'-x,y,-z'
'x,-y,z'
loop_
_atom_site_label
_atom_site_type_symbol
_atom_site_fract_x
_atom_site_fract_y
_atom_site_fract_z
Li1 Li 0.2030 0.0000 0.1959
Ca1 Ca 0.0000 0.5000 0.5000
Tc1 Tc 0.5000 0.5000 0.0000

***

Entry B
# Li2CaTc | Alexandria | PBE | optimized geometry
# ρ   3.37 g/cm³
# N(E_F)   3.144 states/eV per cell
# Total magnetic moment   0.00 Bohr magnetons per cell
data_Li2CaTc
_space_group_name_H-M_alt 'P 1 m 1'
_space_group_IT_number 6
_cell_length_a 2.7475
_cell_length_b 4.5929
_cell_length_c 6.0623
_cell_angle_alpha 90.00
_cell_angle_beta 102.04
_cell_angle_gamma 90.00
loop_
_space_group_symop_operation_xyz
'x,y,z'
'x,-y,z'
loop_
_atom_site_label
_atom_site_type_symbol
_atom_site_fract_x
_atom_site_fract_y
_atom_site_fract_z
Li1 Li 0.0000 0.0000 0.0000
Li2 Li 0.1121 0.5000 0.7758
Ca1 Ca 0.3817 0.0000 0.4567
Tc1 Tc 0.7281 0.5000 0.2003

***

Stability summary - winner: entry A; margin: 31 meV/atom.

***

Entry A
# Li2CaTc | Alexandria | PBE | optimized geometry
# ρ   3.57 g/cm³
# N(E_F)   4.090 states/eV per cell
# Total magnetic moment   0.00 Bohr magnetons per cell
data_Li2CaTc
_space_group_name_H-M_alt 'I m m 2'
_space_group_IT_number 44
_cell_length_a 2.8283
_cell_length_b 5.1542
_cell_length_c 9.7108
_cell_angle_alpha 90.00
_cell_angle_beta 90.00
_cell_angle_gamma 90.00
loop_
_space_group_symop_operation_xyz
'x,y,z'
'-x,-y,z'
'-x,y,z'
'x,-y,z'
'x+1/2,y+1/2,z+1/2'
'-x+1/2,-y+1/2,z+1/2'
'-x+1/2,y+1/2,z+1/2'
'x+1/2,-y+1/2,z+1/2'
loop_
_atom_site_label
_atom_site_type_symbol
_atom_site_fract_x
_atom_site_fract_y
_atom_site_fract_z
Li1 Li 0.0000 0.0000 0.0000
Li2 Li 0.0000 0.5000 0.2761
Ca1 Ca 0.0000 0.5000 0.7689
Tc1 Tc 0.0000 0.0000 0.5415

***

Entry B
# Li2CaTc | Alexandria | PBE | optimized geometry
# ρ   3.14 g/cm³
# N(E_F)   2.696 states/eV per cell
# Total magnetic moment   1.91 Bohr magnetons per cell
data_Li2CaTc
_space_group_name_H-M_alt 'P m m m'
_space_group_IT_number 47
_cell_length_a 3.3640
_cell_length_b 4.8026
_cell_length_c 4.9744
_cell_angle_alpha 90.00
_cell_angle_beta 90.00
_cell_angle_gamma 90.00
loop_
_space_group_symop_operation_xyz
'x,y,z'
'-x,-y,-z'
'-x,-y,z'
'x,y,-z'
'x,-y,-z'
'-x,y,z'
'-x,y,-z'
'x,-y,z'
loop_
_atom_site_label
_atom_site_type_symbol
_atom_site_fract_x
_atom_site_fract_y
_atom_site_fract_z
Li1 Li 0.0000 0.0000 0.0000
Li2 Li 0.5000 0.5000 0.0000
Ca1 Ca 0.0000 0.5000 0.5000
Tc1 Tc 0.5000 0.0000 0.5000

***

Entry C
# Li2CaTc | Alexandria | PBE | optimized geometry
# ρ   3.18 g/cm³
# N(E_F)   11.607 states/eV per cell
# Total magnetic moment   1.14 Bohr magnetons per cell
data_Li2CaTc
_space_group_name_H-M_alt 'R 3 m'
_space_group_IT_number 160
_space_group_name_Hall 'R 3 -2"'
_cell_length_a 2.9905
_cell_length_b 2.9905
_cell_length_c 30.7690
_cell_angle_alpha 90.00
_cell_angle_beta 90.00
_cell_angle_gamma 120.00
loop_
_atom_site_label
_atom_site_type_symbol
_atom_site_fract_x
_atom_site_fract_y
_atom_site_fract_z
Li1 Li 0.0000 0.0000 0.0000
Li2 Li 0.0000 0.0000 0.2477
Ca1 Ca 0.0000 0.0000 0.4834
Tc1 Tc 0.0000 0.0000 0.7380

***

Stability summary - winner: entry A; margin: 26 meV/atom.

***

Entry A
# Li2CaTc | Alexandria | PBE | optimized geometry
# ρ   3.08 g/cm³
# N(E_F)   13.950 states/eV per cell
# Total magnetic moment   8.95 Bohr magnetons per cell
data_Li2CaTc
_space_group_name_H-M_alt 'F -4 3 m'
_space_group_IT_number 216
_space_group_name_Hall 'F -4 2 3'
_cell_length_a 6.8908
_cell_length_b 6.8908
_cell_length_c 6.8908
_cell_angle_alpha 90.00
_cell_angle_beta 90.00
_cell_angle_gamma 90.00
loop_
_atom_site_label
_atom_site_type_symbol
_atom_site_fract_x
_atom_site_fract_y
_atom_site_fract_z
Li1 Li 0.0000 0.0000 0.0000
Li2 Li 0.2500 0.2500 0.2500
Ca1 Ca 0.0000 0.0000 0.5000
Tc1 Tc 0.2500 0.2500 0.7500

***

Entry B
# Li2CaTc | Alexandria | PBE | optimized geometry
# ρ   3.44 g/cm³
# N(E_F)   5.607 states/eV per cell
# Total magnetic moment   0.00 Bohr magnetons per cell
data_Li2CaTc
_space_group_name_H-M_alt 'C m m m'
_space_group_IT_number 65
_space_group_name_Hall '-C 2 2'
_cell_length_a 5.6962
_cell_length_b 9.4004
_cell_length_c 2.7428
_cell_angle_alpha 90.00
_cell_angle_beta 90.00
_cell_angle_gamma 90.00
loop_
_atom_site_label
_atom_site_type_symbol
_atom_site_fract_x
_atom_site_fract_y
_atom_site_fract_z
Li1 Li 0.2500 0.2500 0.0000
Ca1 Ca 0.0000 0.0000 0.5000
Tc1 Tc 0.0000 0.5000 0.5000

***

Stability summary - winner: entry B; margin: 65 meV/atom.

***

Entry A
# LiCaTc3 | Alexandria | PBE | optimized geometry
# ρ   5.48 g/cm³
# N(E_F)   6.869 states/eV per cell
# Total magnetic moment   3.18 Bohr magnetons per cell
data_LiCaTc3
_space_group_name_H-M_alt 'P m -3 m'
_space_group_IT_number 221
_space_group_name_Hall '-P 4 2 3'
_cell_length_a 4.6938
_cell_length_b 4.6938
_cell_length_c 4.6938
_cell_angle_alpha 90.00
_cell_angle_beta 90.00
_cell_angle_gamma 90.00
loop_
_atom_site_label
_atom_site_type_symbol
_atom_site_fract_x
_atom_site_fract_y
_atom_site_fract_z
Li1 Li 0.0000 0.0000 0.0000
Ca1 Ca 0.5000 0.5000 0.5000
Tc1 Tc 0.0000 0.5000 0.5000

***

Entry B
# LiCaTc3 | Alexandria | PBE | optimized geometry
# ρ   6.86 g/cm³
# N(E_F)   6.677 states/eV per cell
# Total magnetic moment   0.00 Bohr magnetons per cell
data_LiCaTc3
_space_group_name_H-M_alt 'P m -3 m'
_space_group_IT_number 221
_space_group_name_Hall '-P 4 2 3'
_cell_length_a 4.3537
_cell_length_b 4.3537
_cell_length_c 4.3537
_cell_angle_alpha 90.00
_cell_angle_beta 90.00
_cell_angle_gamma 90.00
loop_
_atom_site_label
_atom_site_type_symbol
_atom_site_fract_x
_atom_site_fract_y
_atom_site_fract_z
Li1 Li 0.0000 0.0000 0.0000
Ca1 Ca 0.5000 0.5000 0.5000
Tc1 Tc 0.0000 0.0000 0.5000

***

Stability summary - winner: entry B; margin: 1223 meV/atom.